Record 1
Computed, not measured: crystalline K3Mn2GeBr9 at its relaxed geometry at the GGA-PBE level of DFT.

The structure in POSCAR format:
```
K3Mn2GeBr9
1.0
-2.912 -4.619 5.365
-2.037 -0.882 -7.326
7.141 -5.973 -1.267
K Mn Ge Br
3 2 1 9
Direct
0.333 0.667 0.674
0.000 0.000 0.000
0.667 0.333 0.326
0.333 0.667 0.163
0.667 0.333 0.837
0.000 0.000 0.500
0.830 0.170 0.673
0.830 0.660 0.673
0.340 0.170 0.673
0.660 0.830 0.327
0.170 0.340 0.327
0.170 0.830 0.327
0.500 0.000 0.000
0.000 0.500 0.000
0.500 0.500 0.000
```

Summary:
Space-group type = P-3m1
E = -57.66 eV for the cell shown
Total magnetization = 10.0 μB per formula unit
Energy relative to the elements, uncorrected = -1.090 eV per atom

***

Record 2
Computed, not measured: crystalline TbPaCuPt at its relaxed geometry at the GGA-PBE level of DFT.

The structure in POSCAR format:
```
TbPaCuPt
1.0
-1.228 3.937 -2.723
-2.810 -0.560 -4.027
-4.661 1.642 -0.008
Pa Tb Cu Pt
1 1 1 1
Direct
0.000 0.000 0.000
0.500 0.500 0.500
0.250 0.250 0.250
0.750 0.750 0.750
```

Summary:
E_form = -43.7 kJ/mol of atoms
Space-group type = F-43m
E = -26.07 eV for the cell shown
Total magnetization = 0.0 μB per formula unit
DOS(E_F) = 6.74 states/eV/f.u.

***

Record 3
Computed, not measured: crystalline La3Pt7Au2 at its relaxed geometry at the GGA-PBE level of DFT.

The structure in POSCAR format:
```
La3Pt7Au2
1.0
5.297 0.000 1.658
2.389 4.728 1.658
-0.098 -0.060 9.605
La Pt Au
3 7 2
Direct
0.000 0.000 0.000
0.860 0.860 0.419
0.140 0.140 0.581
0.500 0.500 0.500
0.918 0.413 0.257
0.413 0.918 0.257
0.413 0.413 0.257
0.082 0.587 0.743
0.587 0.587 0.743
0.587 0.082 0.743
0.667 0.667 0.000
0.333 0.333 0.000
```

Summary:
E_form = -87.9 kJ/mol of atoms
Space-group type = R-3m
E = -74.56 eV for the cell shown
Total magnetization = 0.0 μB per formula unit
DOS(E_F) = 6.92 states/eV/f.u.

***

Record 4
Computed, not measured: crystalline ScB3Br at its relaxed geometry at the GGA-PBE level of DFT.

The structure in POSCAR format:
```
ScB3Br
1.0
4.167 0.000 0.000
0.000 4.167 0.000
0.000 0.000 4.167
Sc B Br
1 3 1
Direct
0.500 0.500 0.500
0.000 0.500 0.000
0.000 0.000 0.500
0.500 0.000 0.000
0.000 0.000 0.000
```

Summary:
Space-group type = Pm-3m
E = -18.08 eV for the cell shown
Energy above the lowest structure with this stoichiometry = 0.000 eV per atom
Total magnetization = 0.0 μB per formula unit
DOS(E_F) = 2.59 states/eV/f.u.
Energy relative to the elements, uncorrected = 1.991 eV per atom